# 1
This record from Alexandria via LeMat-Bulk describes crystalline AlNiSb2 at its relaxed geometry. The functional is PBE-GGA.

a b c (Å): 5.052 5.052 3.110
angles (deg): 90.00 90.00 90.00
Element x y z (fractional)
Al (0.000, 0.000, 0.000)
Ni (0.500, 0.500, 0.000)
Sb (0.000, 0.500, 0.500)
Sb (0.500, 0.000, 0.500)

Computed properties:
**ΔE_f (raw)**: 0.26 eV per atom
**Crystal system**: tetragonal
**Calculated density**: 6.89 g/cm3
**DOS at the Fermi energy**: 1.87 states/eV per cell

---

# 2
This record from Alexandria via LeMat-Bulk describes crystalline YFeI2 at its relaxed geometry. The functional is PBE-GGA.

a b c (Å): 7.513 7.513 7.513
angles (deg): 127.54 127.54 77.37
Element x y z (fractional)
Y (0.000, 0.000, 0.000)
Y (0.750, 0.250, 0.500)
Fe (0.250, 0.750, 0.500)
Fe (0.500, 0.500, 0.000)
I (0.186, 0.625, 0.061)
I (0.375, 0.436, 0.561)
I (0.564, 0.125, 0.939)
I (0.875, 0.814, 0.439)

Computed properties:
**ΔE_f (raw)**: 0.11 eV per atom
**Crystal system**: tetragonal
**Calculated density**: 5.12 g/cm3
**ΔE to the lowest computed polymorph**: 0 meV per atom
**DOS at the Fermi energy**: 9.90 states/eV per cell

---

# 3
This record from Alexandria via LeMat-Bulk describes crystalline PrHoO at its relaxed geometry. The functional is PBE-GGA.

a b c (Å): 3.586 3.586 6.056
angles (deg): 90.00 90.00 120.00
Element x y z (fractional)
Pr (0.000, 0.000, 0.000)
Ho (0.333, 0.667, 0.462)
O (0.667, 0.333, 0.281)

Computed properties:
**ΔE_f (raw)**: -1.74 eV per atom
**Crystal system**: trigonal
**Calculated density**: 7.92 g/cm3
**DOS at the Fermi energy**: 1.45 states/eV per cell

---

# 4
This record from Alexandria via LeMat-Bulk describes crystalline Nd3Mg7Ir4 at its relaxed geometry. The functional is PBE-GGA.

a b c (Å): 8.415 8.415 10.549
angles (deg): 123.47 123.47 29.25
Element x y z (fractional)
Nd (0.000, 0.000, 0.000)
Nd (0.300, 0.300, 0.281)
Nd (0.700, 0.700, 0.719)
Mg (0.000, 0.000, 0.500)
Mg (0.170, 0.170, 0.429)
Mg (0.320, 0.320, 0.989)
Mg (0.487, 0.487, 0.712)
Mg (0.513, 0.513, 0.288)
Mg (0.680, 0.680, 0.011)
Mg (0.830, 0.830, 0.571)
Ir (0.108, 0.108, 0.810)
Ir (0.336, 0.336, 0.742)
Ir (0.664, 0.664, 0.258)
Ir (0.892, 0.892, 0.190)

Computed properties:
**Formation energy from the elements**: -437 meV/atom
**Crystal system**: monoclinic
**Calculated density**: 7.60 g/cm3
**DOS at the Fermi energy**: 6.21 states/eV per cell

---

# 5
This record from Alexandria via LeMat-Bulk describes crystalline Mg2Tl2Cd3 at its relaxed geometry. The functional is PBE-GGA.

a b c (Å): 13.175 13.175 3.369
angles (deg): 90.00 90.00 162.72
Element x y z (fractional)
Mg (0.127, 0.873, 0.000)
Mg (0.873, 0.127, 0.000)
Tl (0.301, 0.699, 0.500)
Tl (0.699, 0.301, 0.500)
Cd (0.000, 0.000, 0.000)
Cd (0.435, 0.565, 0.500)
Cd (0.565, 0.435, 0.500)

Computed properties:
**Formation energy from the elements**: -7 meV/atom
**Crystal system**: orthorhombic
**Calculated density**: 7.60 g/cm3
**DOS at the Fermi energy**: 2.99 states/eV per cell

---

# 6
This record from Alexandria via LeMat-Bulk describes crystalline CoRe2Ni at its relaxed geometry. The functional is PBE-GGA.

a b c (Å): 5.324 5.324 5.324
angles (deg): 103.22 103.22 122.85
Element x y z (fractional)
Co (0.000, 0.000, 0.000)
Co (0.750, 0.250, 0.500)
Re (0.106, 0.625, 0.981)
Re (0.375, 0.356, 0.481)
Re (0.644, 0.125, 0.019)
Re (0.875, 0.894, 0.519)
Ni (0.250, 0.750, 0.500)
Ni (0.500, 0.500, 0.000)

Computed properties:
**Formation energy from the elements**: 703 meV/atom
**Crystal system**: tetragonal
**Calculated density**: 14.62 g/cm3
**ΔE to the lowest computed polymorph**: 750 meV per atom
**DOS at the Fermi energy**: 8.24 states/eV per cell